HfThZr6 after structural relaxation, computed with PBE-GGA.

Unit cell a=4.8761 b=6.3837 c=6.3837 alpha=104.50 beta=90.00 gamma=90.00
Positions (direct):
Zr1 0.0000 0.6170 0.9041
Hf1 0.5000 0.3804 0.6196
Zr2 0.0000 0.5917 0.4083
Zr3 0.0000 0.0959 0.3830
Zr4 0.5000 0.4256 0.1368
Zr5 0.5000 0.8632 0.5744
Th1 0.0000 0.1208 0.8792
Zr6 0.5000 0.9051 0.0949

Summary:
DFT formation energy	0.0668	eV per atom
M_tot	0.00	μB per formula unit



Hf2TeRh2 after structural relaxation, computed with PBE-GGA.

Unit cell a=7.5768 b=7.5768 c=3.3263 alpha=90.00 beta=90.00 gamma=90.00
Positions (direct):
Hf1 0.6584 0.8416 0.5000
Hf2 0.8416 0.3416 0.5000
Rh1 0.8680 0.6320 0.0000
Te1 0.0000 0.0000 0.0000
Hf3 0.1584 0.6584 0.5000
Te2 0.5000 0.5000 0.0000
Rh2 0.1320 0.3680 0.0000
Hf4 0.3416 0.1584 0.5000
Rh3 0.3680 0.8680 0.0000
Rh4 0.6320 0.1320 0.0000

Summary:
E_form (uncorrected)	-0.693	eV per atom
M_tot	0.00	μB per formula unit



ScHgWC2 after structural relaxation, computed with PBE-GGA.

Unit cell a=4.2003 b=5.2151 c=4.2003 alpha=90.00 beta=90.00 gamma=90.00
Positions (direct):
C1 0.5000 0.0000 0.0000
C2 0.0000 0.0000 0.5000
Sc1 0.0000 0.0000 0.0000
Hg1 0.5000 0.5000 0.5000
W1 0.0000 0.5000 0.0000

Summary:
DFT formation energy	2.4918	eV per atom
M_tot	0.00	μB per formula unit



SrSi3Bi after structural relaxation, computed with PBE-GGA.

Unit cell a=5.4037 b=5.4037 c=5.4037 alpha=90.00 beta=90.00 gamma=90.00
Positions (direct):
Si1 0.0000 0.0000 0.5000
Bi1 0.0000 0.0000 0.0000
Sr1 0.5000 0.5000 0.5000
Si2 0.5000 0.0000 0.0000
Si3 0.0000 0.5000 0.0000

Summary:
E_form (uncorrected)	0.878	eV per atom
M_tot	0.00	μB per formula unit